[1]
The following is a DFT calculation (PBE) of Dy5Bi2Rh after structural relaxation.

Calculated values
D(E_F)	0.69	states/eV per atom
formation energy from the elements	-0.4182	eV/atom

Lattice parameters (Å, degrees): 5.573 5.573 16.380 90.00 90.00 115.95
Element x y z (fractional)
Dy (0.064, 0.936, 0.601)
Dy (0.064, 0.936, 0.899)
Dy (0.251, 0.749, 0.250)
Dy (0.402, 0.598, 0.641)
Dy (0.402, 0.598, 0.859)
Dy (0.598, 0.402, 0.141)
Dy (0.598, 0.402, 0.359)
Dy (0.749, 0.251, 0.750)
Dy (0.936, 0.064, 0.101)
Dy (0.936, 0.064, 0.399)
Bi (0.279, 0.721, 0.057)
Bi (0.279, 0.721, 0.443)
Bi (0.721, 0.279, 0.557)
Bi (0.721, 0.279, 0.943)
Rh (0.169, 0.831, 0.750)
Rh (0.831, 0.169, 0.250)

=====

[2]
The following is a DFT calculation (PBE) of Dy4BiRh2 after structural relaxation.

Calculated values
D(E_F)	0.70	states/eV per atom
formation energy from the elements	-0.5794	eV/atom

Lattice parameters (Å, degrees): 8.085 8.085 8.085 110.60 110.45 107.39
Element x y z (fractional)
Dy (0.225, 0.292, 0.567)
Dy (0.225, 0.658, 0.933)
Dy (0.292, 0.225, 0.067)
Dy (0.342, 0.775, 0.567)
Dy (0.658, 0.225, 0.433)
Dy (0.708, 0.775, 0.933)
Dy (0.775, 0.342, 0.067)
Dy (0.775, 0.708, 0.433)
Bi (0.124, 0.874, 0.250)
Bi (0.876, 0.126, 0.750)
Rh (0.000, 0.500, 0.500)
Rh (0.500, 0.000, 0.000)
Rh (0.500, 0.500, 0.000)
Rh (0.500, 0.500, 0.500)